Entry from the Alexandria database: a geometry-optimized Pu12Te3C5 structure (GGA-PBE).

Cell lengths 12.923, 12.923, 12.923 Å; angles 109.47, 109.47, 109.47 degrees
Fractional positions:
C (0.625, 0.875, 0.250)
Pu (0.942, 0.141, 0.976)
Pu (0.141, 0.942, 0.476)
Pu (0.476, 0.442, 0.141)
C (0.875, 0.625, 0.750)
Pu (0.836, 0.534, 0.476)
Pu (0.558, 0.034, 0.698)
Pu (0.359, 0.336, 0.302)
Te (0.750, 0.875, 0.625)
Te (0.125, 0.250, 0.875)
Pu (0.836, 0.302, 0.859)
Pu (0.558, 0.524, 0.359)
Pu (0.859, 0.058, 0.524)
Pu (0.336, 0.976, 0.034)
C (0.125, 0.750, 0.375)
C (0.250, 0.375, 0.625)
Pu (0.641, 0.976, 0.442)
Pu (0.164, 0.466, 0.524)
C (0.000, 0.500, 0.500)
Pu (0.476, 0.034, 0.836)
Pu (0.534, 0.698, 0.058)
Pu (0.058, 0.198, 0.534)
C (0.375, 0.250, 0.125)
Pu (0.802, 0.859, 0.336)
Pu (0.198, 0.141, 0.664)
Pu (0.034, 0.558, 0.198)
Pu (0.024, 0.359, 0.058)
Pu (0.966, 0.524, 0.664)
Pu (0.976, 0.336, 0.534)
C (0.500, 0.000, 0.500)
C (0.000, 0.000, 0.500)
C (0.500, 0.500, 0.000)
Pu (0.442, 0.966, 0.302)
Pu (0.336, 0.359, 0.802)
C (0.375, 0.125, 0.750)
Pu (0.442, 0.476, 0.641)
Pu (0.302, 0.466, 0.442)
Te (0.250, 0.125, 0.375)
Pu (0.466, 0.302, 0.942)
Te (0.125, 0.875, 0.750)
Pu (0.302, 0.836, 0.359)
Pu (0.664, 0.024, 0.966)
C (0.000, 0.500, 0.000)
Pu (0.534, 0.836, 0.976)
Pu (0.058, 0.859, 0.024)
C (0.750, 0.625, 0.375)
C (0.625, 0.750, 0.875)
C (0.500, 0.500, 0.500)
Te (0.375, 0.625, 0.250)
Pu (0.198, 0.058, 0.034)
Pu (0.524, 0.558, 0.859)
Pu (0.466, 0.164, 0.024)
Pu (0.664, 0.641, 0.198)
C (0.750, 0.125, 0.875)
Te (0.750, 0.375, 0.125)
C (0.000, 0.000, 0.000)
Te (0.875, 0.750, 0.125)
Pu (0.976, 0.641, 0.942)
Pu (0.034, 0.476, 0.336)
Pu (0.698, 0.534, 0.558)
Pu (0.141, 0.198, 0.164)
Te (0.375, 0.750, 0.625)
Pu (0.164, 0.698, 0.141)
Pu (0.024, 0.664, 0.466)
C (0.875, 0.250, 0.625)
Pu (0.641, 0.664, 0.698)
C (0.500, 0.000, 0.000)
Te (0.875, 0.125, 0.250)
Te (0.625, 0.375, 0.750)
Pu (0.359, 0.024, 0.558)
Te (0.250, 0.625, 0.875)
Pu (0.859, 0.802, 0.836)
C (0.125, 0.375, 0.250)
Pu (0.698, 0.164, 0.641)
Pu (0.802, 0.942, 0.966)
Pu (0.524, 0.966, 0.164)
Pu (0.966, 0.442, 0.802)
Pu (0.942, 0.802, 0.466)
C (0.250, 0.875, 0.125)
Te (0.625, 0.250, 0.375)

The calculation puts the formation energy (no corrections) at 0.5792 eV per atom. Its space group is Ia-3d. The volume is 1661.4 Å³ per cell.